# 1
DFT (GGA-PBE) results for crystalline Tb3AsO3 at its relaxed geometry.

a b c (Å): 6.6705 6.6705 20.8075
angles (deg): 90.00 90.00 120.00
Space group R-3 (No. 148, hexagonal axes)
Inequivalent atoms, fractional coordinates:
Tb  0.0044  0.3602  0.4023 [18 per cell]
As  0.0000  0.0000  0.1668 [6 per cell]
O  0.0096  0.3152  0.6243 [18 per cell]

Computed properties:
The value obtained for the magnetic moment is 0.00 μB/atom. The calculation puts the formation energy without anion corrections at -2861 meV/atom. The density of states at the Fermi level is 0.801 states/eV per cell.

# 2
DFT (GGA-PBE) results for crystalline TbAsO at its relaxed geometry.

a b c (Å): 3.581 3.569 7.777
angles (deg): 90.00 90.42 90.00
Space group P2_1/m (No. 11)
Inequivalent atoms, fractional coordinates:
Tb  0.243  0.250  0.325 [2 per cell]
As  0.266  0.750  0.999 [2 per cell]
O  0.249  0.250  0.613 [2 per cell]

Computed properties:
The value obtained for the magnetic moment is 0.00 μB/atom. The calculation puts the formation energy without anion corrections at -2123 meV/atom. The density of states at the Fermi level is 0.440 states/eV per cell.